Entry 1:
AlHgPb2: relaxed, GGA-PBE.

Values from the calculation:
**Relative energy among the computed polymorphs**: 0.02 eV/f.u.

Cell: 3.3338 3.3338 33.4821 Å, 90.00 90.00 120.00°
Last column: nearest neighbours and their distance in Å.
Space group R3m (No. 160, hexagonal axes)
Unique sites:
Al 0.0000 0.0000 0.0000  3 Hg 2.92
Hg 0.0000 0.0000 0.2679  3 Al 2.92
Pb 0.0000 0.0000 0.5176  6 Pb 3.33, 3 Hg 3.40
Pb 0.0000 0.0000 0.7487  6 Pb 3.33, 3 Al 3.35

Entry 2:
K3Ac3GeO8: relaxed, GGA-PBE.

Values from the calculation:
**Raw formation energy**: -2.287 eV/atom

Cell: 7.3254 7.3254 19.0172 Å, 90.00 90.00 120.00°
Last column: nearest neighbours and their distance in Å.
Space group R-3m (No. 166, hexagonal axes)
Unique sites:
K 0.0000 0.5000 0.0000  6 O 2.85-2.86
Ac 0.0000 0.5000 0.5000  6 O 2.46-2.57
Ge 0.0000 0.0000 0.5000  6 O 2.05
O 0.0000 0.0000 0.2329  3 Ac 2.46
O 0.0596 0.5298 0.2238  1 Ge 2.05

Entry 3:
Hf2InH2: relaxed, GGA-PBE.

Values from the calculation:
**Relative energy among the computed polymorphs**: 0.00 eV/f.u.

Cell: 3.7916 3.7916 9.6070 Å, 90.00 90.00 90.00°
Last column: nearest neighbours and their distance in Å.
Space group I4/mmm (No. 139)
Unique sites:
Hf 0.0000 0.0000 0.1674  4 H 2.06
In 0.0000 0.0000 0.5000  8 H 3.06, 10 Hf 3.13-3.20
H 0.0000 0.5000 0.2500  4 Hf 2.06

Entry 4:
LiPr2HPt6: relaxed, GGA-PBE.

Values from the calculation:
**DFT total energy**: -5.794 eV per atom

Cell: 5.6442 5.6442 18.9255 Å, 90.00 90.00 120.00°
Last column: nearest neighbours and their distance in Å.
Space group R-3m (No. 166, hexagonal axes)
Unique sites:
Li 0.0000 0.0000 0.0000  6 Pt 2.53
Pr 0.0000 0.0000 0.2850  9 Pt 3.01-3.32
H 0.0000 0.0000 0.5000  6 Pt 2.04
Pt 0.0062 0.5031 0.7703  1 H 2.04